Entry 1:
DFT (PBE-GGA) results for an optimized crystal structure of Pm6SbP4.

Results
The space group is No. 63. The uncorrected formation energy is -1401.8 meV per atom. Its uncorrected energy is -0.466 Ry per atom.

a b c (Å): 7.120 7.120 20.995
angles (deg): 90.00 90.00 145.82
Element x y z (fractional)
Pm 0.000 0.000 0.000
Pm 0.000 0.000 0.500
Pm 0.168 0.832 0.750
Pm 0.273 0.727 0.081
Pm 0.273 0.727 0.419
Pm 0.460 0.540 0.658
Pm 0.460 0.540 0.842
Pm 0.540 0.460 0.158
Pm 0.540 0.460 0.342
Pm 0.727 0.273 0.581
Pm 0.727 0.273 0.919
Pm 0.832 0.168 0.250
Sb 0.161 0.839 0.250
Sb 0.839 0.161 0.750
P 0.092 0.908 0.625
P 0.092 0.908 0.875
P 0.363 0.637 0.541
P 0.363 0.637 0.959
P 0.637 0.363 0.041
P 0.637 0.363 0.459
P 0.908 0.092 0.125
P 0.908 0.092 0.375

***

Entry 2:
DFT (PBE-GGA) results for an optimized crystal structure of Pm3SbP.

Results
The calculation puts the relative energy among the computed polymorphs at 0 meV/atom. The space group is No. 62. The uncorrected formation energy is -1135.7 meV per atom. Its uncorrected energy is -0.433 Ry per atom.

a b c (Å): 8.580 4.276 15.526
angles (deg): 90.00 90.00 90.00
Element x y z (fractional)
Pm 0.018 0.250 0.107
Pm 0.156 0.250 0.530
Pm 0.176 0.750 0.289
Pm 0.324 0.250 0.789
Pm 0.344 0.750 0.030
Pm 0.482 0.750 0.607
Pm 0.518 0.250 0.393
Pm 0.656 0.250 0.970
Pm 0.676 0.750 0.211
Pm 0.824 0.250 0.711
Pm 0.844 0.750 0.470
Pm 0.982 0.750 0.893
Sb 0.108 0.750 0.688
Sb 0.392 0.250 0.188
Sb 0.608 0.750 0.812
Sb 0.892 0.250 0.312
P 0.184 0.250 0.948
P 0.316 0.750 0.448
P 0.684 0.250 0.552
P 0.816 0.750 0.052

***

Entry 3:
DFT (PBE-GGA) results for an optimized crystal structure of Pm2SbP.

Results
The calculation puts the relative energy among the computed polymorphs at 0 meV/atom. The space group is No. 166. The uncorrected formation energy is -1345.4 meV per atom. Its uncorrected energy is -0.449 Ry per atom.

a b c (Å): 4.277 4.277 21.419
angles (deg): 90.00 90.00 120.00
Element x y z (fractional)
Pm 0.000 0.000 0.242
Pm 0.000 0.000 0.758
Pm 0.333 0.667 0.425
Pm 0.333 0.667 0.909
Pm 0.667 0.333 0.091
Pm 0.667 0.333 0.575
Sb 0.000 0.000 0.000
Sb 0.333 0.667 0.667
Sb 0.667 0.333 0.333
P 0.000 0.000 0.500
P 0.333 0.667 0.167
P 0.667 0.333 0.833

***

Entry 4:
DFT (PBE-GGA) results for an optimized crystal structure of Pm2SbP.

Results
The calculation puts the relative energy among the computed polymorphs at 353 meV/atom. The space group is No. 123. The uncorrected formation energy is -992.4 meV per atom. Its uncorrected energy is -0.423 Ry per atom.

a b c (Å): 3.572 3.572 7.938
angles (deg): 90.00 90.00 90.00
Element x y z (fractional)
Pm 0.000 0.000 0.213
Pm 0.000 0.000 0.787
Sb 0.500 0.500 0.500
P 0.500 0.500 0.000

***

Entry 5:
DFT (PBE-GGA) results for an optimized crystal structure of Pm5Sb4P.

Results
The calculation puts the relative energy among the computed polymorphs at 0 meV/atom. The space group is No. 87. The uncorrected formation energy is -1229.6 meV per atom. Its uncorrected energy is -0.426 Ry per atom.

a b c (Å): 7.658 7.658 7.658
angles (deg): 99.65 99.65 131.66
Element x y z (fractional)
Pm 0.000 0.000 0.000
Pm 0.215 0.403 0.619
Pm 0.403 0.785 0.188
Pm 0.597 0.215 0.812
Pm 0.785 0.597 0.381
Sb 0.095 0.698 0.793
Sb 0.302 0.095 0.397
Sb 0.698 0.905 0.603
Sb 0.905 0.302 0.207
P 0.500 0.500 0.000

***

Entry 6:
DFT (PBE-GGA) results for an optimized crystal structure of Pm4SbP2.

Results
The space group is No. 63. The uncorrected formation energy is -1265.6 meV per atom. Its uncorrected energy is -0.449 Ry per atom.

a b c (Å): 7.117 7.117 13.851
angles (deg): 90.00 90.00 145.56
Element x y z (fractional)
Pm 0.000 0.000 0.000
Pm 0.000 0.000 0.500
Pm 0.266 0.734 0.616
Pm 0.266 0.734 0.884
Pm 0.440 0.560 0.250
Pm 0.560 0.440 0.750
Pm 0.734 0.266 0.116
Pm 0.734 0.266 0.384
Sb 0.108 0.892 0.250
Sb 0.892 0.108 0.750
P 0.365 0.635 0.061
P 0.365 0.635 0.439
P 0.635 0.365 0.561
P 0.635 0.365 0.939